(1)
The following is a DFT calculation (PBE) of an optimized crystal structure of Pm3Ag2Hg.

- Symmetry: P4/mmm, No. 123
- Formation energy from the elements: -0.341 eV/atom
- DOS at the Fermi energy: 5.3 states/eV/cell

extended XYZ file:
```
6
Lattice="3.7690 0.0000 0.0000 0.0000 3.7690 0.0000 0.0000 0.0000 11.1871" Properties=species:S:1:pos:R:3 pbc="T T T"
Pm 0.0000 0.0000 0.0000
Pm 0.0000 0.0000 7.5007
Pm 0.0000 0.0000 3.6864
Ag 1.8845 1.8845 9.3598
Ag 1.8845 1.8845 1.8273
Hg 1.8845 1.8845 5.5936
```

=====

(2)
The following is a DFT calculation (PBE) of an optimized crystal structure of PmAgHg.

- Symmetry: F-43m, No. 216
- Polymorph energy (0 for the lowest one): 178 meV per atom
- Formation energy from the elements: -0.195 eV/atom
- DOS at the Fermi energy: 4.4 states/eV/cell

extended XYZ file:
```
3
Lattice="-0.1866 -0.4090 -4.8569 -4.0715 -1.5991 -2.1582 -2.7500 3.0751 -2.6026" Properties=species:S:1:pos:R:3 pbc="T T T"
Hg -3.5040 0.5335 -4.8088
Ag -1.7520 0.2667 -2.4044
Pm 0.0000 0.0000 0.0000
```

=====

(3)
The following is a DFT calculation (PBE) of an optimized crystal structure of Pm2Ag3Hg.

- Symmetry: Imm2, No. 44
- Polymorph energy (0 for the lowest one): 96 meV per atom
- Formation energy from the elements: -0.221 eV/atom
- DOS at the Fermi energy: 2.9 states/eV/cell

extended XYZ file:
```
6
Lattice="-3.7134 -0.8239 1.6136 1.7676 -1.7364 3.1812 1.0730 9.3905 1.9738" Properties=species:S:1:pos:R:3 pbc="T T T"
Pm 0.0261 2.1173 1.1411
Pm -1.7834 5.5284 4.0085
Ag -0.9324 2.0014 4.1660
Ag -0.9622 -0.4126 2.8650
Ag 0.9431 3.9356 4.1797
Hg 0.9741 6.4526 5.5362
```